Arrangement one

The following is a PBE calculation of CeHo7Er12 after structural relaxation, from Alexandria.

Lattice parameters (Å, degrees): 11.2176 11.2176 11.2176 90.00 90.00 90.00
Last column: nearest neighbours and their distance in Å.
Space group Im-3m (No. 229)
Unique sites:
Ce (0.0000, 0.0000, 0.0000) [2 per cell]  12 Er 4.10
Ho (0.0000, 0.0000, 0.5000) [6 per cell]  12 Er 3.83-3.97
Ho (0.2500, 0.2500, 0.2500) [8 per cell]  6 Er 2.81
Er (0.0000, 0.2585, 0.2585) [24 per cell]  2 Ho 2.81



Arrangement two

The following is a PBE calculation of CeHo7Er12 after structural relaxation, from Alexandria.

Lattice parameters (Å, degrees): 14.8551 14.8551 9.8631 90.00 90.00 120.00
Last column: nearest neighbours and their distance in Å.
Space group R-3 (No. 148, hexagonal axes)
Unique sites:
Ce (0.0000, 0.0000, 0.0000) [3 per cell]  6 Ho 3.33, 6 Er 3.64
Ho (0.0000, 0.0000, 0.5000) [3 per cell]  12 Er 3.55-3.56
Ho (0.0703, 0.8246, 0.9297) [18 per cell]  7 Er 3.28-3.63, 1 Ce 3.33, 3 Ho 3.34-3.54
Er (0.0353, 0.7861, 0.5747) [18 per cell]  3 Er 3.27-3.58, 4 Ho 3.29-3.55
Er (0.0450, 0.8505, 0.2556) [18 per cell]  3 Er 3.27-3.58, 5 Ho 3.28-3.63, 1 Ce 3.64



The energy of each structure relative to the most stable one, in meV/atom, is as follows: arrangement one 566; arrangement two 0.



Arrangement one

The following is a PBE calculation of CeHo6Er after structural relaxation, from Alexandria.

Lattice parameters (Å, degrees): 6.4558 6.7190 6.8346 118.92 102.35 90.61
Last column: nearest neighbours and their distance in Å.
Space group P-1 (No. 2)
Unique sites:
Ce (0.0000, 0.0000, 0.0000) [1 per cell]  2 Er 3.23, 4 Ho 3.36-3.40
Ho (0.2300, 0.9040, 0.4789) [2 per cell]  5 Ho 3.25-3.61, 1 Er 3.35
Ho (0.2500, 0.4490, 0.0005) [2 per cell]  5 Ho 3.23-3.61, 1 Ce 3.40, 1 Er 3.44
Ho (0.2671, 0.4282, 0.5215) [2 per cell]  6 Ho 3.23-3.61, 1 Ce 3.36
Er (0.5000, 0.0000, 0.0000) [1 per cell]  2 Ce 3.23, 4 Ho 3.35-3.44



Arrangement two

The following is a PBE calculation of CeHo6Er after structural relaxation, from Alexandria.

Lattice parameters (Å, degrees): 4.9825 4.9825 9.9480 90.00 90.00 90.00
Last column: nearest neighbours and their distance in Å.
Space group P4/mmm (No. 123)
Unique sites:
Ce (0.0000, 0.0000, 0.0000) [1 per cell]  12 Ho 3.51-3.52
Ho (0.0000, 0.5000, 0.2492) [4 per cell]  2 Ce 3.51, 8 Ho 3.51-3.53, 2 Er 3.53
Ho (0.5000, 0.5000, 0.0000) [1 per cell]  8 Ho 3.51, 4 Ce 3.52
Ho (0.5000, 0.5000, 0.5000) [1 per cell]  4 Er 3.52, 8 Ho 3.53
Er (0.0000, 0.0000, 0.5000) [1 per cell]  12 Ho 3.52-3.53



The energy of each structure relative to the most stable one, in meV/atom, is as follows: arrangement one 181; arrangement two 0.



Arrangement one

The following is a PBE calculation of CeHoEr6 after structural relaxation, from Alexandria.

Lattice parameters (Å, degrees): 8.7214 9.2206 6.3783 90.00 98.00 90.00
Last column: nearest neighbours and their distance in Å.
Space group C2/m (No. 12)
Unique sites:
Ce (0.0000, 0.0000, 0.0000) [2 per cell]  2 Ho 3.19, 2 Er 3.45
Ho (0.0000, 0.0000, 0.5000) [2 per cell]  2 Ce 3.19, 6 Er 3.36-3.46
Er (0.1516, 0.5000, 0.1979) [4 per cell]  9 Er 3.36-3.64, 1 Ho 3.36, 1 Ce 3.45
Er (0.1664, 0.3193, 0.7084) [8 per cell]  7 Er 3.33-3.65, 1 Ho 3.46, 1 Ce 3.63



Arrangement two

The following is a PBE calculation of CeHoEr6 after structural relaxation, from Alexandria.

Lattice parameters (Å, degrees): 6.4339 6.6936 6.8276 118.64 103.02 90.60
Last column: nearest neighbours and their distance in Å.
Space group P-1 (No. 2)
Unique sites:
Ce (0.0000, 0.0000, 0.0000) [1 per cell]  2 Ho 3.22, 4 Er 3.34-3.40
Ho (0.5000, 0.0000, 0.0000) [1 per cell]  2 Ce 3.22, 4 Er 3.34-3.44
Er (0.2300, 0.9042, 0.4775) [2 per cell]  5 Er 3.25-3.59, 1 Ho 3.34, 1 Ce 3.62
Er (0.2494, 0.4506, 0.9997) [2 per cell]  5 Er 3.23-3.61, 1 Ce 3.40, 1 Ho 3.44
Er (0.2671, 0.4280, 0.5207) [2 per cell]  6 Er 3.23-3.61, 1 Ce 3.34



The energy of each structure relative to the most stable one, in meV/atom, is as follows: arrangement one 0; arrangement two 61.